Compound: LaSiAg
Source: the Alexandria database
Functional: PBE-GGA
Structure: optimized geometry

```
LaSiAg
1.0
4.393 0.000 0.000
2.000 5.245 0.000
0.393 0.081 6.034
La Si Ag
2 2 2
Direct
0.000 0.000 0.000
0.373 0.224 0.551
0.324 0.418 0.048
0.647 0.610 0.769
0.087 0.801 0.500
0.727 0.576 0.255
```

Computed properties:
Symmetry   P1, No. 1
E_form (uncorrected)   -0.355 eV per atom
Theoretical density   6.6 Mg/m³

---

Compound: LaSi2Ag
Source: the Alexandria database
Functional: PBE-GGA
Structure: optimized geometry

```
LaSi2Ag
1.0
3.560 0.000 0.000
0.000 3.560 0.000
0.000 0.000 6.623
La Si Ag
1 2 1
Direct
0.000 0.000 0.000
0.500 0.500 0.318
0.500 0.500 0.682
0.000 0.000 0.500
```

Computed properties:
Symmetry   P4/mmm, No. 123
E_form (uncorrected)   -0.064 eV per atom
Theoretical density   6.0 Mg/m³

---

Compound: LaSiAg
Source: the Alexandria database
Functional: PBE-GGA
Structure: optimized geometry

```
LaSiAg
1.0
-2.189 4.176 3.900
2.189 -4.176 3.900
2.189 4.176 -3.900
La Si Ag
2 2 2
Direct
0.000 0.000 0.000
0.500 0.000 0.500
0.431 0.681 0.750
0.569 0.319 0.250
0.105 0.355 0.750
0.895 0.645 0.250
```

Computed properties:
Symmetry   Imma, No. 74
E_form (uncorrected)   -0.482 eV per atom
Theoretical density   6.4 Mg/m³

---

Compound: LaSi2Ag
Source: the Alexandria database
Functional: PBE-GGA
Structure: optimized geometry

```
LaSi2Ag
1.0
2.250 -2.894 0.000
2.250 2.894 0.000
0.000 0.000 6.693
La Si Ag
1 2 1
Direct
0.000 0.000 0.000
0.500 0.500 0.310
0.500 0.500 0.690
0.000 0.000 0.500
```

Computed properties:
Symmetry   Cmmm, No. 65
E_form (uncorrected)   -0.091 eV per atom
Theoretical density   5.8 Mg/m³

---

Compound: La5Si2Ag2
Source: the Alexandria database
Functional: PBE-GGA
Structure: optimized geometry

```
La5Si2Ag2
1.0
8.207 -3.985 0.000
8.207 3.985 0.000
0.000 0.000 7.905
La Si Ag
10 4 4
Direct
0.000 0.000 0.000
0.052 0.688 0.678
0.188 0.552 0.178
0.312 0.948 0.678
0.448 0.812 0.178
0.500 0.500 0.500
0.552 0.188 0.822
0.688 0.052 0.322
0.812 0.448 0.822
0.948 0.312 0.322
0.112 0.888 0.388
0.388 0.612 0.888
0.612 0.388 0.112
0.888 0.112 0.612
0.215 0.215 0.000
0.285 0.285 0.500
0.715 0.715 0.500
0.785 0.785 0.000
```

Computed properties:
Symmetry   Cmce, No. 64
E_form (uncorrected)   -0.443 eV per atom
Theoretical density   6.2 Mg/m³

---

Compound: LaSiAg
Source: the Alexandria database
Functional: PBE-GGA
Structure: optimized geometry

```
LaSiAg
1.0
4.431 0.000 0.000
-2.215 3.837 0.000
0.000 0.000 4.203
La Si Ag
1 1 1
Direct
0.000 0.000 0.000
0.333 0.667 0.501
0.667 0.333 0.500
```

Computed properties:
Symmetry   P3m1, No. 156
E_form (uncorrected)   -0.517 eV per atom
Theoretical density   6.4 Mg/m³

---

> The highest theoretical density belongs to which entry?

number 1